Computed, not measured: an optimized crystal structure of KInFe2 at the PBE level of DFT.

Structure (POSCAR):
```
KInFe2
1.0
2.974 0.011 0.000
-0.008 2.974 0.000
0.000 0.000 9.426
K In Fe
1 1 2
Direct
0.500 0.500 0.750 K
0.500 0.500 0.250 In
0.000 0.000 0.053 Fe
0.000 0.000 0.447 Fe
```

Properties
- theoretical density (kg/m3) = 5290
- uncorrected energy (eV per atom) = -4.349
- size of the total moment (μB per formula unit) = 5.2
- space group = P4/mmm (123)


Computed, not measured: an optimized crystal structure of CsK4Na at the PBE level of DFT.

Structure (POSCAR):
```
CsK4Na
1.0
7.846 0.000 -0.571
0.000 10.479 0.000
-2.983 -5.240 11.008
K Na Cs
8 2 2
Direct
0.170 0.666 0.332 K
0.000 0.194 0.000 K
0.830 0.334 0.668 K
0.609 0.894 0.223 K
0.391 0.106 0.777 K
0.000 0.806 0.000 K
0.391 0.670 0.777 K
0.609 0.330 0.223 K
0.275 0.498 0.997 Na
0.725 0.502 0.003 Na
0.208 0.210 0.421 Cs
0.792 0.790 0.579 Cs
```

Properties
- energy relative to the lowest polymorph listed for this composition (kJ per mole of atoms) = 0.00
- theoretical density (kg/m3) = 1169
- size of the total moment (μB per formula unit) = 0.0
- space group = C2/m (12)


Computed, not measured: an optimized crystal structure of Sm2CdGa3Pd4 at the PBE level of DFT.

Structure (POSCAR):
```
Sm2CdGa3Pd4
1.0
-0.077 3.972 -1.013
-2.809 0.687 2.906
8.528 2.139 7.739
Sm Pd Ga Cd
2 4 3 1
Direct
0.000 0.500 0.753 Sm
0.500 0.000 0.247 Sm
0.500 0.000 0.658 Pd
0.500 0.500 0.000 Pd
0.000 0.000 0.000 Pd
0.000 0.500 0.342 Pd
0.500 0.000 0.871 Ga
0.000 0.000 0.500 Ga
0.000 0.500 0.129 Ga
0.500 0.500 0.500 Cd
```

Properties
- theoretical density (kg/m3) = 8840
- uncorrected energy (eV per atom) = -4.740
- size of the total moment (μB per formula unit) = 0.0
- space group = P-4m2 (115)


Computed, not measured: an optimized crystal structure of PmEr2Al6 at the PBE level of DFT.

Structure (POSCAR):
```
PmEr2Al6
1.0
3.493 0.000 0.000
0.000 6.862 -3.961
0.000 0.000 7.923
Al Pm Er
6 1 2
Direct
0.500 0.665 0.665 Al
0.500 0.000 0.335 Al
0.500 0.335 0.000 Al
0.500 0.000 0.665 Al
0.500 0.335 0.335 Al
0.500 0.665 0.000 Al
0.000 0.000 0.000 Pm
0.000 0.667 0.333 Er
0.000 0.333 0.667 Er
```

Properties
- theoretical density (kg/m3) = 5609
- uncorrected energy (eV per atom) = -4.521
- size of the total moment (μB per formula unit) = 0.0
- space group = P6/mmm (191)


Computed, not measured: an optimized crystal structure of Ba2InHg6Sb at the PBE level of DFT.

Structure (POSCAR):
```
Ba2InHg6Sb
1.0
6.032 0.000 0.000
0.000 10.792 0.000
0.000 0.000 10.085
Hg Ba In Sb
12 4 2 2
Direct
0.248 0.994 0.500 Hg
0.753 0.478 0.500 Hg
0.500 0.095 0.250 Hg
0.252 0.006 0.000 Hg
0.000 0.905 0.750 Hg
0.747 0.522 0.000 Hg
0.247 0.478 0.500 Hg
0.500 0.095 0.750 Hg
0.253 0.522 0.000 Hg
0.752 0.994 0.500 Hg
0.000 0.905 0.250 Hg
0.748 0.006 0.000 Hg
0.500 0.737 0.733 Ba
0.500 0.737 0.267 Ba
0.000 0.263 0.233 Ba
0.000 0.263 0.767 Ba
0.500 0.252 0.500 In
0.000 0.748 0.000 In
0.500 0.286 0.000 Sb
0.000 0.714 0.500 Sb
```

Properties
- theoretical density (kg/m3) = 8675
- size of the total moment (μB per formula unit) = 0.0
- E_form (uncorrected) (eV/atom) = -0.290
- space group = Pmmn (59)


Computed, not measured: an optimized crystal structure of CoNi4As at the PBE level of DFT.

Structure (POSCAR):
```
CoNi4As
1.0
4.533 -1.196 0.157
1.892 -1.500 4.022
1.222 -4.504 0.482
Ni As Co
4 1 1
Direct
0.626 0.123 0.626 Ni
0.626 0.626 0.626 Ni
0.123 0.626 0.626 Ni
0.626 0.626 0.123 Ni
0.250 0.250 0.250 As
0.000 0.000 0.000 Co
```

Properties
- theoretical density (kg/m3) = 8385
- uncorrected energy (eV per atom) = -5.565
- size of the total moment (μB per formula unit) = 2.4
- space group = F-43m (216)


Computed, not measured: an optimized crystal structure of Ca5In2Bi at the PBE level of DFT.

Structure (POSCAR):
```
Ca5In2Bi
1.0
-3.973 -7.355 -1.260
2.419 0.081 -8.100
6.899 0.023 6.472
Ca In Bi
10 4 2
Direct
0.975 0.475 0.288 Ca
0.475 0.313 0.288 Ca
0.187 0.025 0.712 Ca
0.687 0.187 0.712 Ca
0.500 0.500 0.000 Ca
0.025 0.525 0.712 Ca
0.813 0.975 0.288 Ca
0.000 0.000 0.000 Ca
0.313 0.813 0.288 Ca
0.525 0.687 0.712 Ca
0.875 0.625 0.000 In
0.375 0.875 0.000 In
0.125 0.375 0.000 In
0.625 0.125 0.000 In
0.250 0.250 0.500 Bi
0.750 0.750 0.500 Bi
```

Properties
- theoretical density (kg/m3) = 4050
- uncorrected energy (eV per atom) = -2.931
- size of the total moment (μB per formula unit) = 0.0
- space group = I4/mcm (140)


Computed, not measured: an optimized crystal structure of Cd9In2Hg3 at the PBE level of DFT.

Structure (POSCAR):
```
Cd9In2Hg3
1.0
5.057 -1.177 0.604
-0.546 7.699 4.239
0.517 0.067 8.884
Cd In Hg
9 2 3
Direct
0.573 0.065 0.789 Cd
0.283 0.283 0.151 Cd
0.148 0.646 0.058 Cd
0.852 0.354 0.942 Cd
0.427 0.935 0.211 Cd
0.717 0.717 0.849 Cd
0.000 0.500 0.500 Cd
0.857 0.860 0.424 Cd
0.143 0.140 0.576 Cd
0.427 0.424 0.723 In
0.573 0.576 0.277 In
0.000 0.000 0.000 Hg
0.717 0.214 0.364 Hg
0.283 0.786 0.636 Hg
```

Properties
- theoretical density (kg/m3) = 9169
- uncorrected energy (eV per atom) = -1.028
- size of the total moment (μB per formula unit) = 0.0
- space group = P-1 (2)


Computed, not measured: an optimized crystal structure of Cd2HS at the PBE level of DFT.

Structure (POSCAR):
```
Cd2HS
1.0
4.885 0.000 0.000
0.000 4.885 0.000
2.442 2.442 6.560
Cd H S
4 2 2
Direct
0.202 0.625 0.250 Cd
0.548 0.125 0.250 Cd
0.375 0.452 0.750 Cd
0.875 0.798 0.750 Cd
0.500 0.500 0.000 H
0.250 0.750 0.500 H
0.750 0.250 0.500 S
0.000 0.000 0.000 S
```

Properties
- energy relative to the lowest polymorph listed for this composition (kJ per mole of atoms) = 0.00
- theoretical density (kg/m3) = 5473
- size of the total moment (μB per formula unit) = 0.0
- space group = I-42d (122)


Computed, not measured: an optimized crystal structure of WBr2Cl at the PBE level of DFT.

Structure (POSCAR):
```
WBr2Cl
1.0
0.000 3.458 3.458
3.458 0.000 3.458
3.458 3.458 0.000
W Br Cl
1 2 1
Direct
0.500 0.500 0.500 W
0.250 0.250 0.250 Br
0.750 0.750 0.750 Br
0.000 0.000 0.000 Cl
```

Properties
- energy relative to the lowest polymorph listed for this composition (kJ per mole of atoms) = 106.34
- theoretical density (kg/m3) = 7612
- size of the total moment (μB per formula unit) = 3.0
- E_form (uncorrected) (eV/atom) = 0.845
- space group = Fm-3m (225)


Computed, not measured: an optimized crystal structure of LaTcH4 at the PBE level of DFT.

Structure (POSCAR):
```
LaTcH4
1.0
3.689 -0.440 -0.328
-0.426 3.691 0.321
-0.400 0.405 4.673
H Tc La
4 1 1
Direct
0.092 0.407 0.876 H
0.000 0.000 0.500 H
0.500 0.500 0.500 H
0.908 0.593 0.124 H
0.000 0.500 0.500 Tc
0.500 0.000 0.000 La
```

Properties
- theoretical density (kg/m3) = 6464
- uncorrected energy (eV per atom) = -5.059
- size of the total moment (μB per formula unit) = 0.0
- space group = C2/m (12)


Computed, not measured: an optimized crystal structure of La2Tb6Pm3 at the PBE level of DFT.

Structure (POSCAR):
```
La2Tb6Pm3
1.0
4.809 0.000 0.000
0.000 4.809 0.000
-2.404 -2.404 16.836
Tb Pm La
6 3 2
Direct
0.695 0.695 0.390 Tb
0.305 0.305 0.610 Tb
0.378 0.878 0.756 Tb
0.122 0.622 0.244 Tb
0.878 0.378 0.756 Tb
0.622 0.122 0.244 Tb
0.797 0.797 0.594 Pm
0.203 0.203 0.406 Pm
0.000 0.000 0.000 Pm
0.546 0.546 0.092 La
0.454 0.454 0.908 La
```

Properties
- energy relative to the lowest polymorph listed for this composition (kJ per mole of atoms) = 7.15
- theoretical density (kg/m3) = 7108
- size of the total moment (μB per formula unit) = 0.0
- space group = I4/mmm (139)